A geometry-optimized HgOsW2 structure. Source: Alexandria via LeMat-Bulk, functional PBE.

Unit cell a=2.8441 b=4.0789 c=5.7248 alpha=90.00 beta=90.00 gamma=90.00
Space group Pmmm (No. 47)
Symmetry-distinct sites (fractional):
Hg 0.0000 0.0000 0.0000
Os 0.0000 0.0000 0.5000
W 0.5000 0.5000 0.2785

A geometry-optimized HgOs2W structure. Source: Alexandria via LeMat-Bulk, functional PBE.

Unit cell a=4.1203 b=4.1203 c=3.7787 alpha=90.00 beta=90.00 gamma=90.00
Space group P4/mmm (No. 123)
Symmetry-distinct sites (fractional):
Hg 0.0000 0.0000 0.0000
Os 0.0000 0.5000 0.5000
W 0.5000 0.5000 0.0000

A geometry-optimized HgOsW4 structure. Source: Alexandria via LeMat-Bulk, functional PBE.

Unit cell a=7.4497 b=7.4497 c=7.4497 alpha=90.00 beta=90.00 gamma=90.00
Space group F-43m (No. 216)
Symmetry-distinct sites (fractional):
Hg 0.0000 0.0000 0.0000
Os 0.2500 0.2500 0.7500
W 0.1265 0.1265 0.3735

A geometry-optimized HgOsW2 structure. Source: Alexandria via LeMat-Bulk, functional PBE.

Unit cell a=2.8577 b=2.8577 c=8.1746 alpha=90.00 beta=90.00 gamma=90.00
Space group P4/mmm (No. 123)
Symmetry-distinct sites (fractional):
Hg 0.0000 0.0000 0.0000
Os 0.0000 0.0000 0.5000
W 0.5000 0.5000 0.2760

A geometry-optimized HgOsW2 structure. Source: Alexandria via LeMat-Bulk, functional PBE.

Unit cell a=2.9577 b=4.7321 c=9.8465 alpha=90.00 beta=90.00 gamma=90.00
Space group Imm2 (No. 44)
Symmetry-distinct sites (fractional):
Hg 0.0000 0.0000 0.0000
Os 0.0000 0.5000 0.7662
W 0.0000 0.0000 0.4781
W 0.0000 0.5000 0.2096

A geometry-optimized HgOsW2 structure. Source: Alexandria via LeMat-Bulk, functional PBE.

Unit cell a=3.1398 b=4.6076 c=9.4102 alpha=90.00 beta=90.00 gamma=90.00
Space group Cmm2 (No. 35)
Symmetry-distinct sites (fractional):
Hg 0.0000 0.0000 0.0000
Os 0.0000 0.5000 0.7290
W 0.0000 0.0000 0.5050
W 0.0000 0.5000 0.2712

Number 1: calculated formation energy 483.9 meV per atom. Number 2: calculated formation energy 795.7 meV per atom. Number 3: calculated formation energy 753.1 meV per atom. Number 4: calculated formation energy 405.8 meV per atom. Number 5: calculated formation energy 678.4 meV per atom. Number 6: calculated formation energy 548.7 meV per atom.